1.
First-principles (PBE) data for crystalline LaHo2SiN4 at its relaxed geometry, as listed in the Alexandria database.

Output
Its space group is Cmcm, No. 63. As for the uncorrected formation energy: -1403 meV/atom.

The structure in POSCAR format:
```
LaHo2SiN4
1.0
1.700 -5.805 0.000
1.700 5.805 0.000
0.000 0.000 11.508
La Ho Si N
2 4 2 8
Cartesian
1.700 4.794 8.631
1.700 -4.794 2.877
1.700 1.527 6.237
1.700 1.527 11.025
1.700 -1.527 0.483
1.700 -1.527 5.271
1.700 3.743 2.877
1.700 -3.743 8.631
0.000 0.000 0.000
0.000 0.000 5.754
1.700 2.735 1.469
1.700 2.735 4.285
1.700 1.132 8.631
1.700 -1.132 2.877
1.700 -2.735 7.223
1.700 -2.735 10.039
```

---

2.
First-principles (PBE) data for crystalline V2PdRh at its relaxed geometry, as listed in the Alexandria database.

Output
Its space group is F-43m, No. 216. The calculation puts the total energy at -31.191 eV per formula unit.

The structure in POSCAR format:
```
V2PdRh
1.0
0.000 3.047 3.047
3.047 0.000 3.047
3.047 3.047 0.000
V Pd Rh
2 1 1
Cartesian
0.000 0.000 0.000
1.523 1.523 1.523
4.570 4.570 4.570
3.047 3.047 3.047
```

---

no.,magnetic moment (μB/atom)
1,0.0000
2,0.2083